Record 1
# Tb2AlIr3

A relaxed structure of Tb2AlIr3 (GGA-PBE, the Alexandria database).

abc: 5.152 5.152 5.152
angles: 65.87 65.87 65.87
Sites, in units of the cell vectors:
Al 0.000 0.000 0.000
Tb 0.627 0.627 0.627
Ir 0.000 0.500 0.000
Tb 0.373 0.373 0.373
Ir 0.000 0.000 0.500
Ir 0.500 0.000 0.000

Output
formation enthalpy at 0 K: -5.470 eV per formula unit
energy: -7.509 eV/atom
DOS(E_F): 2.9 states/eV per cell

Record 2
# SrPuTe2O8

A relaxed structure of SrPuTe2O8 (GGA-PBE, the Alexandria database).

abc: 5.848 7.296 7.634
angles: 44.27 67.48 66.37
Last column: magnetic moment on the atom in μB.
Sites, in units of the cell vectors:
Te 0.295 0.200 0.209  0.00
O 0.071 0.637 0.220  -0.10
Pu 0.000 0.000 0.000  2.35
O 0.622 0.966 0.247  -0.04
O 0.165 0.966 0.247  -0.04
O 0.929 0.363 0.780  -0.10
O 0.329 0.482 0.861  0.00
Sr 0.500 0.500 0.500  0.00
O 0.671 0.518 0.139  0.00
O 0.378 0.034 0.753  -0.04
Te 0.705 0.800 0.791  0.00
O 0.835 0.034 0.753  -0.04

Output
ΔE_f (raw): -1935 meV per atom
energy: -7.098 eV/atom
DOS(E_F): 4.0 states/eV per cell

Record 3
# Nd2Tm5Tl

A relaxed structure of Nd2Tm5Tl (GGA-PBE, the Alexandria database).

abc: 4.887 4.887 10.685
angles: 103.22 103.22 90.00
Sites, in units of the cell vectors:
Tm 0.619 0.119 0.239
Tm 0.381 0.881 0.761
Tl 0.000 0.000 0.000
Nd 0.257 0.257 0.515
Tm 0.881 0.381 0.761
Tm 0.500 0.500 0.000
Nd 0.743 0.743 0.485
Tm 0.119 0.619 0.239

Output
formation enthalpy at 0 K: -0.433 eV per formula unit
energy: -4.337 eV/atom
DOS(E_F): 10.5 states/eV per cell

Record 4
# In2HgP

A relaxed structure of In2HgP (GGA-PBE, the Alexandria database).

abc: 10.993 10.993 10.993
angles: 16.79 16.79 16.79
Sites, in units of the cell vectors:
In 0.242 0.242 0.242
P 0.506 0.506 0.506
Hg 0.755 0.755 0.755
In 0.998 0.998 0.998

Output
formation enthalpy at 0 K: 1.343 eV per formula unit
energy: -2.461 eV/atom
DOS(E_F): 2.8 states/eV per cell